(1)
# ZrCr2Ag

ZrCr2Ag after structural relaxation (PBE-GGA, the Alexandria database).

Results
theoretical density = 6.90 g/cm3
total magnetization = 6.59 μB/f.u.
energy of formation from the pure elements = 604 meV/atom
energy relative to the lowest polymorph listed for this composition = 0.4379 eV per atom

a b c (Å): 9.306 9.306 9.306
angles (deg): 18.78 18.78 18.78
Sites, in units of the cell vectors:
1 Ag 0.750 0.750 0.750
2 Cr 0.000 0.000 0.000
3 Cr 0.500 0.500 0.500
4 Zr 0.250 0.250 0.250

=====

(2)
# CsAg

CsAg after structural relaxation (PBE-GGA, the Alexandria database).

Results
theoretical density = 3.51 g/cm3
total magnetization = 0.00 μB/f.u.
energy of formation from the pure elements = 96 meV/atom

a b c (Å): 5.440 5.440 5.440
angles (deg): 60.00 60.00 60.00
Sites, in units of the cell vectors:
1 Cs 0.000 0.000 0.000
2 Ag 0.500 0.500 0.500

=====

(3)
# Cs4Ag

Cs4Ag after structural relaxation (PBE-GGA, the Alexandria database).

Results
theoretical density = 2.35 g/cm3
total magnetization = 0.01 μB/f.u.
energy of formation from the pure elements = 32 meV/atom
energy relative to the lowest polymorph listed for this composition = 0.0000 eV per atom

a b c (Å): 10.937 10.466 10.752
angles (deg): 75.93 59.43 58.50
Sites, in units of the cell vectors:
1 Cs 0.701 0.760 0.838
2 Cs 0.203 0.758 0.836
3 Cs 0.792 0.245 0.673
4 Cs 0.290 0.245 0.673
5 Cs 0.710 0.755 0.327
6 Cs 0.208 0.755 0.327
7 Cs 0.797 0.242 0.164
8 Cs 0.299 0.240 0.162
9 Ag 0.751 0.000 0.000
10 Ag 0.249 0.000 0.000

=====

(4)
# CsAg

CsAg after structural relaxation (PBE-GGA, the Alexandria database).

Results
theoretical density = 2.54 g/cm3
total magnetization = 0.00 μB/f.u.
energy of formation from the pure elements = 145 meV/atom

a b c (Å): 12.868 12.868 7.618
angles (deg): 90.00 90.00 90.00
Sites, in units of the cell vectors:
1 Cs 0.351 0.849 0.500
2 Cs 0.649 0.151 0.500
3 Cs 0.151 0.351 0.500
4 Cs 0.849 0.649 0.500
5 Cs 0.647 0.856 0.000
6 Cs 0.353 0.144 0.000
7 Cs 0.144 0.647 0.000
8 Cs 0.856 0.353 0.000
9 Ag 0.645 0.857 0.500
10 Ag 0.355 0.143 0.500
11 Ag 0.143 0.645 0.500
12 Ag 0.857 0.355 0.500
13 Ag 0.353 0.851 0.000
14 Ag 0.647 0.149 0.000
15 Ag 0.149 0.353 0.000
16 Ag 0.851 0.647 0.000

=====

Copy entry 3 word for word.
# Cs4Ag

Cs4Ag after structural relaxation (PBE-GGA, the Alexandria database).

Results
theoretical density = 2.35 g/cm3
total magnetization = 0.01 μB/f.u.
energy of formation from the pure elements = 32 meV/atom
energy relative to the lowest polymorph listed for this composition = 0.0000 eV per atom

a b c (Å): 10.937 10.466 10.752
angles (deg): 75.93 59.43 58.50
Sites, in units of the cell vectors:
1 Cs 0.701 0.760 0.838
2 Cs 0.203 0.758 0.836
3 Cs 0.792 0.245 0.673
4 Cs 0.290 0.245 0.673
5 Cs 0.710 0.755 0.327
6 Cs 0.208 0.755 0.327
7 Cs 0.797 0.242 0.164
8 Cs 0.299 0.240 0.162
9 Ag 0.751 0.000 0.000
10 Ag 0.249 0.000 0.000

=====

What did the fourth record say?
# CsAg

CsAg after structural relaxation (PBE-GGA, the Alexandria database).

Results
theoretical density = 2.54 g/cm3
total magnetization = 0.00 μB/f.u.
energy of formation from the pure elements = 145 meV/atom

a b c (Å): 12.868 12.868 7.618
angles (deg): 90.00 90.00 90.00
Sites, in units of the cell vectors:
1 Cs 0.351 0.849 0.500
2 Cs 0.649 0.151 0.500
3 Cs 0.151 0.351 0.500
4 Cs 0.849 0.649 0.500
5 Cs 0.647 0.856 0.000
6 Cs 0.353 0.144 0.000
7 Cs 0.144 0.647 0.000
8 Cs 0.856 0.353 0.000
9 Ag 0.645 0.857 0.500
10 Ag 0.355 0.143 0.500
11 Ag 0.143 0.645 0.500
12 Ag 0.857 0.355 0.500
13 Ag 0.353 0.851 0.000
14 Ag 0.647 0.149 0.000
15 Ag 0.149 0.353 0.000
16 Ag 0.851 0.647 0.000

=====

Number 4 is which compound?
CsAg